First-principles (GGA-PBE) data for a geometry-optimized HfTa2Pt2 structure, as listed in Alexandria.

The calculation puts the energy at -96.234 eV/cell. The value obtained for the formation energy is -0.475 eV/atom. The total magnetic moment comes out at 0.0 μB/cell. The energy above the most stable polymorph in this dataset is 0.00 eV per formula unit. The density of states at the Fermi level is 6.57 states/eV/f.u.

The space group is P4/mbm (No. 127) and the conventional cell measures 7.461, 7.461 and 3.283 Å, with angles of 90.00, 90.00 and 90.00 degrees. Symmetry generates all atoms from Hf at (0.000, 0.000, 0.000), Ta at (0.173, 0.327, 0.500) and Pt at (0.128, 0.628, 0.000).

***

First-principles (GGA-PBE) data for a geometry-optimized HfTa2Pt structure, as listed in Alexandria.

The calculation puts the energy at -156.813 eV/cell. The value obtained for the formation energy is 0.124 eV/atom. The total magnetic moment comes out at 0.0 μB/cell. The energy above the most stable polymorph in this dataset is 1.11 eV per formula unit. The density of states at the Fermi level is 3.92 states/eV/f.u.

The space group is I-42d (No. 122) and the conventional cell measures 7.680, 7.680 and 5.427 Å, with angles of 90.00, 90.00 and 90.00 degrees. Symmetry generates all atoms from Hf at (0.000, 0.000, 0.000), Ta at (0.217, 0.250, 0.625) and Pt at (0.000, 0.000, 0.500).

***

First-principles (GGA-PBE) data for a geometry-optimized Hf2TaPt9 structure, as listed in Alexandria.

The calculation puts the energy at -97.126 eV/cell. The value obtained for the formation energy is -0.917 eV/atom. The total magnetic moment comes out at 0.0 μB/cell. The density of states at the Fermi level is 6.36 states/eV/f.u.

The space group is P4/mmm (No. 123) and the conventional cell measures 4.018, 4.018 and 12.088 Å, with angles of 90.00, 90.00 and 90.00 degrees. Symmetry generates all atoms from Hf at (0.000, 0.000, 0.166), Ta at (0.000, 0.000, 0.500), Pt at (0.000, 0.500, 0.000), Pt at (0.000, 0.500, 0.336), Pt at (0.500, 0.500, 0.168) and Pt at (0.500, 0.500, 0.500).

***

First-principles (GGA-PBE) data for a geometry-optimized Hf2TaPt2 structure, as listed in Alexandria.

The calculation puts the energy at -92.738 eV/cell. The value obtained for the formation energy is -0.506 eV/atom. The total magnetic moment comes out at 0.0 μB/cell. The energy above the most stable polymorph in this dataset is 1.03 eV per formula unit. The density of states at the Fermi level is 4.18 states/eV/f.u.

The space group is P4/mbm (No. 127) and the conventional cell measures 7.751, 7.751 and 3.144 Å, with angles of 90.00, 90.00 and 90.00 degrees. Symmetry generates all atoms from Hf at (0.160, 0.340, 0.000), Ta at (0.000, 0.000, 0.000) and Pt at (0.139, 0.639, 0.500).

***

First-principles (GGA-PBE) data for a geometry-optimized Hf3TaPt12 structure, as listed in Alexandria.

The calculation puts the energy at -129.639 eV/cell. The value obtained for the formation energy is -0.965 eV/atom. The total magnetic moment comes out at 0.0 μB/cell. The density of states at the Fermi level is 6.25 states/eV/f.u.

The space group is P4/mmm (No. 123) and the conventional cell measures 4.023, 4.023 and 16.101 Å, with angles of 90.00, 90.00 and 90.00 degrees. Symmetry generates all atoms from Hf at (0.000, 0.000, 0.000), Hf at (0.000, 0.000, 0.250), Ta at (0.000, 0.000, 0.500), Pt at (0.000, 0.500, 0.126), Pt at (0.000, 0.500, 0.378), Pt at (0.500, 0.500, 0.000), Pt at (0.500, 0.500, 0.252) and Pt at (0.500, 0.500, 0.500).

***

First-principles (GGA-PBE) data for a geometry-optimized Hf2TaPt2 structure, as listed in Alexandria.

The calculation puts the energy at -94.805 eV/cell. The value obtained for the formation energy is -0.712 eV/atom. The total magnetic moment comes out at 0.0 μB/cell. The energy above the most stable polymorph in this dataset is 0.00 eV per formula unit. The density of states at the Fermi level is 3.47 states/eV/f.u.

The space group is P4/mbm (No. 127) and the conventional cell measures 7.524, 7.524 and 3.335 Å, with angles of 90.00, 90.00 and 90.00 degrees. Symmetry generates all atoms from Hf at (0.169, 0.331, 0.000), Ta at (0.000, 0.000, 0.500) and Pt at (0.132, 0.632, 0.500).